# 1
The following is a DFT calculation (GGA-PBE) of a relaxed structure of Ce4TlGa3.

## Properties
Its energy above the most stable polymorph in this dataset is 126 meV/atom. The calculation puts the formation energy at -0.285 eV per atom.

Cell: 4.2372 4.9188 18.0641 Å, 90.00 90.00 90.00°
Space group Immm (No. 71)
Asymmetric unit:
Ce 0.0000 0.0000 0.1220 [4 per cell]
Ce 0.0000 0.5000 0.2696 [4 per cell]
Tl 0.0000 0.5000 0.0000 [2 per cell]
Ga 0.0000 0.0000 0.3683 [4 per cell]
Ga 0.0000 0.5000 0.5000 [2 per cell]

# 2
The following is a DFT calculation (GGA-PBE) of a relaxed structure of Ho2Tm3.

## Properties
The calculation puts the formation energy at -0.002 eV per atom.

Cell: 11.6525 6.1810 9.0384 Å, 90.00 109.96 90.00°
Space group C2/c (No. 15)
Asymmetric unit:
Ho 0.0998 0.1667 0.4498 [8 per cell]
Tm 0.0000 0.3339 0.7500 [4 per cell]
Tm 0.2004 0.3340 0.1502 [8 per cell]

# 3
The following is a DFT calculation (GGA-PBE) of a relaxed structure of CsZnF3.

## Properties
For the energy relative to the elements, uncorrected, the calculation gives -232.9 kJ per mole of atoms.

Cell: 6.2019 6.2019 15.9543 Å, 90.00 90.00 120.00°
Space group R3m (No. 160, hexagonal axes)
Asymmetric unit:
Cs 0.0000 0.0000 0.0000 [3 per cell]
Cs 0.0000 0.0000 0.2229 [3 per cell]
Zn 0.0000 0.0000 0.5782 [3 per cell]
Zn 0.0000 0.0000 0.7668 [3 per cell]
F 0.1721 0.3442 0.5146 [9 per cell]
F 0.1951 0.3902 0.3402 [9 per cell]

Number 1: size of the total moment 0.0 μB/f.u.. Number 2: size of the total moment 0.0 μB/f.u.. Number 3: size of the total moment 0.0 μB/f.u..